No. 1
VASP calculation (PBE) on an optimized crystal structure of BaAlS2.

* Fermi-level density of states: 5.9 states/eV/cell
* magnetization: 0.00 μB/f.u.

Lattice parameters (Å, degrees): 4.7582 4.7582 22.6377 90.00 90.00 120.00
Space group R-3m (No. 166, hexagonal axes)
Unique sites:
1 Ba 0.0000 0.0000 0.0000 (multiplicity 3)
2 Al 0.0000 0.0000 0.5000 (multiplicity 3)
3 S 0.0000 0.0000 0.4032 (multiplicity 6)


No. 2
VASP calculation (PBE) on an optimized crystal structure of Ba3AlS5.

* Fermi-level density of states: 42.1 states/eV/cell
* magnetization: 0.71 μB/f.u.

Lattice parameters (Å, degrees): 8.528 8.528 13.833 90.00 90.00 90.00
Space group I4/mcm (No. 140)
Unique sites:
1 Ba 0.000 0.000 0.250 (multiplicity 4)
2 Ba 0.163 0.337 0.000 (multiplicity 8)
3 Al 0.000 0.500 0.250 (multiplicity 4)
4 S 0.000 0.000 0.000 (multiplicity 4)
5 S 0.147 0.353 0.350 (multiplicity 16)


No. 3
VASP calculation (PBE) on an optimized crystal structure of Ba2Al2S5.

* Fermi-level density of states: 0.0 states/eV/cell
* magnetization: 0.00 μB/f.u.

Lattice parameters (Å, degrees): 12.834 4.992 7.427 90.00 103.81 90.00
Space group C2/m (No. 12)
Unique sites:
1 Ba 0.102 0.000 0.307 (multiplicity 4)
2 Al 0.156 0.500 0.884 (multiplicity 4)
3 S 0.000 0.500 0.000 (multiplicity 2)
4 S 0.142 0.500 0.580 (multiplicity 4)
5 S 0.176 0.000 0.923 (multiplicity 4)


No. 4
VASP calculation (PBE) on an optimized crystal structure of BaAl2Sb2S7.

* Fermi-level density of states: 0.0 states/eV/cell
* magnetization: 0.00 μB/f.u.

Lattice parameters (Å, degrees): 6.5988 6.5988 31.0301 90.00 90.00 120.00
Space group R32 (No. 155, hexagonal axes)
Unique sites:
1 Ba 0.0000 0.0000 0.0000 (multiplicity 3)
2 Al 0.0000 0.0000 0.4293 (multiplicity 6)
3 Sb 0.0000 0.0000 0.2248 (multiplicity 6)
4 S 0.0000 0.0000 0.5000 (multiplicity 3)
5 S 0.0010 0.3802 0.0654 (multiplicity 18)


No. 5
VASP calculation (PBE) on an optimized crystal structure of BaAl2SbS6.

* Fermi-level density of states: 12.8 states/eV/cell
* magnetization: 0.00 μB/f.u.

Lattice parameters (Å, degrees): 13.028 12.966 6.939 90.00 114.00 90.00
Space group C2/c (No. 15)
Unique sites:
1 Ba 0.000 0.151 0.250 (multiplicity 4)
2 Al 0.239 0.085 0.825 (multiplicity 8)
3 Sb 0.000 0.284 0.750 (multiplicity 4)
4 S 0.073 0.391 0.068 (multiplicity 8)
5 S 0.163 0.033 0.052 (multiplicity 8)
6 S 0.174 0.241 0.679 (multiplicity 8)


No. 6
VASP calculation (PBE) on an optimized crystal structure of Ba2AlSbS6.

* Fermi-level density of states: 19.1 states/eV/cell
* magnetization: 0.00 μB/f.u.

Lattice parameters (Å, degrees): 6.9460 6.9460 36.2195 90.00 90.00 120.00
Space group R-3m (No. 166, hexagonal axes)
Unique sites:
1 Ba 0.0000 0.0000 0.1140 (multiplicity 6)
2 Ba 0.0000 0.0000 0.3001 (multiplicity 6)
3 Al 0.0000 0.0000 0.4176 (multiplicity 6)
4 Sb 0.0000 0.0000 0.0000 (multiplicity 3)
5 Sb 0.0000 0.0000 0.5000 (multiplicity 3)
6 S 0.0104 0.5052 0.1224 (multiplicity 18)
7 S 0.0119 0.5059 0.2928 (multiplicity 18)


Number 1: ΔE_f (raw) -374 kJ/mol of formula units, volume 443.9 Å³ per cell. Number 2: ΔE_f (raw) -1443 kJ/mol of formula units, volume 1006.0 Å³ per cell. Number 3: ΔE_f (raw) -1278 kJ/mol of formula units, volume 462.1 Å³ per cell. Number 4: ΔE_f (raw) -1028 kJ/mol of formula units, volume 1170.1 Å³ per cell. Number 5: ΔE_f (raw) -913 kJ/mol of formula units, volume 1070.8 Å³ per cell. Number 6: ΔE_f (raw) -1033 kJ/mol of formula units, volume 1513.3 Å³ per cell.